Here is a crystal of Be3Ru relaxed with PBEsol from Alexandria. Energies are from meta-GGA SCAN.

The total energy is -198.02 eV/cell. The total moment comes out at 0.9 Bohr magnetons per cell. The calculated volume is 9.3 Å³ per atom. The crystal system is tetragonal. The value obtained for the density of states at the Fermi level is 0.5349 states/eV/atom.

The structure belongs to space group I4/mmm (No. 139); the cell edges are 3.324, 3.324 and 13.524 Å and the angles 90.00°, 90.00° and 90.00°. Symmetry generates all atoms from Be at (0.000, 0.000, 0.133), Be at (0.000, 0.500, 0.000), Be at (0.000, 0.500, 0.250) and Ru at (0.000, 0.000, 0.384).

***

Here is a crystal of Tl3HgRh relaxed with PBEsol from Alexandria. Energies are from meta-GGA SCAN.

The total energy is -319.32 eV/cell. The total moment comes out at 0.0 Bohr magnetons per cell. The calculated volume is 28.1 Å³ per atom. The crystal system is cubic. The value obtained for the density of states at the Fermi level is 0.3606 states/eV/atom.

The structure belongs to space group Pm-3m (No. 221); the cell edges are 5.196, 5.196 and 5.196 Å and the angles 90.00°, 90.00° and 90.00°. Symmetry generates all atoms from Tl at (0.000, 0.000, 0.500), Hg at (0.500, 0.500, 0.500) and Rh at (0.000, 0.000, 0.000).

***

Look up the total energy of the first one.
-198.02 eV/cell

***

Copy entry 2 word for word.
Here is a crystal of Tl3HgRh relaxed with PBEsol from Alexandria. Energies are from meta-GGA SCAN.

The total energy is -319.32 eV/cell. The total moment comes out at 0.0 Bohr magnetons per cell. The calculated volume is 28.1 Å³ per atom. The crystal system is cubic. The value obtained for the density of states at the Fermi level is 0.3606 states/eV/atom.

The structure belongs to space group Pm-3m (No. 221); the cell edges are 5.196, 5.196 and 5.196 Å and the angles 90.00°, 90.00° and 90.00°. Symmetry generates all atoms from Tl at (0.000, 0.000, 0.500), Hg at (0.500, 0.500, 0.500) and Rh at (0.000, 0.000, 0.000).

***

Which value of total moment does entry 2 give?
0.0 Bohr magnetons per cell

***

calculated volume of number 1 (Be3Ru)?
9.3 Å³ per atom